[1]
Entry from OQMD: a relaxed BaScTc crystal (GGA-PBE).

a = 4.8523 Å, b = 4.8523 Å, c = 4.8523 Å
α = 60.00°, β = 60.00°, γ = 60.00°
With the nearest neighbours (Å) after each atom.
Sites, in units of the cell vectors:
Ba 0.2500 0.2500 0.2500  4 Tc 2.97
Tc 0.0000 0.0000 0.0000  4 Ba 2.97, 4 Sc 2.97
Sc 0.7500 0.7500 0.7500  4 Tc 2.97

## Properties
E above lowest polymorph = 0.000 eV per formula unit
SG = F-43m, No. 216
total DFT energy (no corrections) = -5.4763 eV/atom

---

[2]
Entry from OQMD: a relaxed LuHfTlCu crystal (GGA-PBE).

a = 4.9774 Å, b = 4.9774 Å, c = 4.9774 Å
α = 60.00°, β = 60.00°, γ = 60.00°
With the nearest neighbours (Å) after each atom.
Sites, in units of the cell vectors:
Tl 0.0000 0.0000 0.0000  4 Hf 3.05, 4 Cu 3.05
Lu 0.5000 0.5000 0.5000  4 Hf 3.05, 4 Cu 3.05
Hf 0.2500 0.2500 0.2500  4 Tl 3.05, 4 Lu 3.05
Cu 0.7500 0.7500 0.7500  4 Tl 3.05, 4 Lu 3.05

## Properties
E above lowest polymorph = 0.000 eV per formula unit
SG = F-43m, No. 216
total DFT energy (no corrections) = -4.7548 eV/atom

---

[3]
Entry from OQMD: a relaxed GdGa4Co crystal (GGA-PBE).

a = 8.0154 Å, b = 8.0154 Å, c = 6.4837 Å
α = 90.00°, β = 90.00°, γ = 150.34°
With the nearest neighbours (Å) after each atom.
Sites, in units of the cell vectors:
Ga 0.3128 0.6872 0.4490  3 Co 2.39-2.49, 1 Ga 2.58
Co 0.2238 0.7762 0.7500  7 Ga 2.33-2.49
Ga 0.9265 0.0735 0.2500  1 Co 2.33
Gd 0.1184 0.8816 0.2500  13 Ga 2.97-3.32, 2 Co 3.19
Ga 0.5000 0.5000 0.0000  6 Ga 2.85-2.92
Gd 0.8816 0.1184 0.7500  13 Ga 2.97-3.32, 2 Co 3.19
Ga 0.6872 0.3128 0.5510  3 Co 2.39-2.49, 1 Ga 2.58
Ga 0.5000 0.5000 0.5000  6 Ga 2.85-2.92
Ga 0.6872 0.3128 0.9490  3 Co 2.39-2.49, 1 Ga 2.58
Co 0.7762 0.2238 0.2500  7 Ga 2.33-2.49
Ga 0.0735 0.9265 0.7500  1 Co 2.33
Ga 0.3128 0.6872 0.0510  3 Co 2.39-2.49, 1 Ga 2.58

## Properties
SG = Cmcm, No. 63
total DFT energy (no corrections) = -4.4848 eV/atom